[1]
Na2Ac2S3Cl2 after structural relaxation. Source: Alexandria via LeMat-Bulk, functional PBE-GGA.

abc: 5.704 5.704 15.343
angles: 90.00 90.00 90.00
Space group I4/mmm (No. 139)
Symmetry-distinct sites (fractional):
1 Na 0.000 0.500 0.000 x4
2 Ac 0.000 0.000 0.196 x4
3 S 0.000 0.000 0.000 x2
4 S 0.000 0.500 0.250 x4
5 Cl 0.000 0.000 0.394 x4


[2]
TlMoRu2 after structural relaxation. Source: Alexandria via LeMat-Bulk, functional PBE-GGA.

Summary:
For the energy relative to the lowest polymorph listed for this composition, the calculation gives 22.1 kJ/mol of atoms. For the calculated formation energy, the calculation gives 2.13 eV/f.u.

abc: 4.395 4.395 3.379
angles: 90.00 90.00 90.00
Space group P4/mmm (No. 123)
Symmetry-distinct sites (fractional):
1 Tl 0.000 0.000 0.000 x1
2 Mo 0.500 0.500 0.000 x1
3 Ru 0.000 0.500 0.500 x2


[3]
Cd3H2Pd4 after structural relaxation. Source: Alexandria via LeMat-Bulk, functional PBE-GGA.

abc: 9.080 4.099 6.972
angles: 90.00 102.36 90.00
Space group C2/m (No. 12)
Symmetry-distinct sites (fractional):
1 Cd 0.000 0.000 0.000 x2
2 Cd 0.084 0.500 0.715 x4
3 H 0.195 0.500 0.383 x4
4 Pd 0.138 0.000 0.415 x4
5 Pd 0.214 0.500 0.135 x4


Listing total energy for the structures above in their given order: -0.178 -0.272 -0.133 hartree per atom.